1.
SiIrAu4, optimized geometry, DFT PBE; final energy = -3.860 eV per atom; volume = 18.68 A^3/atom; raw formation energy = 0.706 eV per atom
1.0
0.000 3.827 3.827
3.827 0.000 3.827
3.827 3.827 0.000
Si Ir Au
1 1 4
Direct
0.000 0.000 0.000 Si
0.250 0.250 0.250 Ir
0.125 0.625 0.625 Au
0.625 0.125 0.625 Au
0.625 0.625 0.125 Au
0.625 0.625 0.625 Au

***

2.
SiIrAu2, optimized geometry, DFT PBE; final energy = -5.218 eV per atom; volume = 17.13 A^3/atom; raw formation energy = -0.008 eV per atom
1.0
7.372 0.000 0.000
0.000 2.944 0.000
-1.189 0.000 6.313
Si Ir Au
2 2 4
Direct
0.000 0.000 0.000 Si
0.500 0.500 0.000 Si
0.264 0.000 0.846 Ir
0.764 0.500 0.846 Ir
0.002 0.500 0.552 Au
0.238 0.500 0.257 Au
0.502 0.000 0.552 Au
0.738 0.000 0.257 Au